(1)
Here is a relaxed structure of AlAgC3 from Alexandria via LeMat-Bulk. Energies are from PBE.

abc: 3.963 3.963 3.963
angles: 90.00 90.00 90.00
Atoms (fractional coordinates):
Ag: 0.500 0.500 0.500
Al: 0.000 0.000 0.000
C: 0.000 0.000 0.500
C: 0.000 0.500 0.000
C: 0.500 0.000 0.000

---

(2)
Here is a relaxed structure of AlAgC2 from Alexandria via LeMat-Bulk. Energies are from PBE.

abc: 4.434 4.434 6.339
angles: 69.53 69.53 90.00
Atoms (fractional coordinates):
C: 0.875 0.840 0.750
C: 0.160 0.625 0.250
Al: 0.250 0.750 0.500
C: 0.590 0.125 0.250
Ag: 0.000 0.000 0.000
Al: 0.500 0.500 0.000
Ag: 0.750 0.250 0.500
C: 0.375 0.410 0.750

---

(3)
Here is a relaxed structure of AlAg3C from Alexandria via LeMat-Bulk. Energies are from PBE.

abc: 4.386 4.386 4.386
angles: 90.00 90.00 90.00
Atoms (fractional coordinates):
Ag: 0.000 0.500 0.000
Ag: 0.000 0.000 0.500
C: 0.000 0.000 0.000
Al: 0.500 0.500 0.500
Ag: 0.500 0.000 0.000

---

(4)
Here is a relaxed structure of Al3AgC from Alexandria via LeMat-Bulk. Energies are from PBE.

abc: 4.794 4.794 4.794
angles: 90.00 90.00 90.00
Atoms (fractional coordinates):
Al: 0.000 0.500 0.000
Ag: 0.000 0.000 0.000
Al: 0.000 0.000 0.500
C: 0.500 0.500 0.500
Al: 0.500 0.000 0.000

---

(5)
Here is a relaxed structure of AlAg3C from Alexandria via LeMat-Bulk. Energies are from PBE.

abc: 4.836 4.836 4.836
angles: 90.00 90.00 90.00
Atoms (fractional coordinates):
Ag: 0.500 0.000 0.000
Al: 0.000 0.000 0.000
C: 0.500 0.500 0.500
Ag: 0.000 0.000 0.500
Ag: 0.000 0.500 0.000

---

(6)
Here is a relaxed structure of AlAgC3 from Alexandria via LeMat-Bulk. Energies are from PBE.

abc: 4.157 4.157 4.157
angles: 90.00 90.00 90.00
Atoms (fractional coordinates):
C: 0.000 0.000 0.500
Ag: 0.000 0.000 0.000
C: 0.000 0.500 0.000
C: 0.500 0.000 0.000
Al: 0.500 0.500 0.500

---

(7)
Here is a relaxed structure of Ca2AlAgC from Alexandria via LeMat-Bulk. Energies are from PBE.

abc: 5.195 5.195 3.899
angles: 90.00 90.00 90.00
Atoms (fractional coordinates):
Al: 0.000 0.000 0.500
Ca: 0.500 0.000 0.000
Ag: 0.500 0.500 0.500
C: 0.000 0.000 0.000
Ca: 0.000 0.500 0.000

---

(8)
Here is a relaxed structure of AlCoAg2C from Alexandria via LeMat-Bulk. Energies are from PBE.

abc: 4.438 3.655 4.438
angles: 90.00 90.00 90.00
Atoms (fractional coordinates):
Ag: 0.500 0.000 0.000
Co: 0.000 0.500 0.000
C: 0.000 0.000 0.000
Al: 0.500 0.500 0.500
Ag: 0.000 0.000 0.500

---

(9)
Here is a relaxed structure of Al2InAgC from Alexandria via LeMat-Bulk. Energies are from PBE.

abc: 3.946 5.478 3.946
angles: 90.00 90.00 90.00
Atoms (fractional coordinates):
C: 0.000 0.000 0.000
Al: 0.000 0.000 0.500
Al: 0.500 0.000 0.000
In: 0.000 0.500 0.000
Ag: 0.500 0.500 0.500

---

(10)
Here is a relaxed structure of AlAg2PdC from Alexandria via LeMat-Bulk. Energies are from PBE.

abc: 4.426 3.871 4.426
angles: 90.00 90.00 90.00
Atoms (fractional coordinates):
Ag: 0.500 0.000 0.000
Al: 0.000 0.500 0.000
C: 0.000 0.000 0.000
Ag: 0.000 0.000 0.500
Pd: 0.500 0.500 0.500

---

(11)
Here is a relaxed structure of AlAgPd2C from Alexandria via LeMat-Bulk. Energies are from PBE.

abc: 4.173 4.249 4.173
angles: 90.00 90.00 90.00
Atoms (fractional coordinates):
Pd: 0.000 0.000 0.500
C: 0.000 0.000 0.000
Ag: 0.000 0.500 0.000
Pd: 0.500 0.000 0.000
Al: 0.500 0.500 0.500

---

(12)
Here is a relaxed structure of RbAl2AgC from Alexandria via LeMat-Bulk. Energies are from PBE.

abc: 5.248 4.426 5.248
angles: 90.00 90.00 90.00
Atoms (fractional coordinates):
Al: 0.500 0.000 0.000
Ag: 0.000 0.000 0.000
C: 0.000 0.500 0.000
Rb: 0.500 0.500 0.500
Al: 0.000 0.000 0.500

---

Respective E_form values: 2.328, 1.439, 0.823, 1.644, 1.803, 3.136, -0.064, 0.590, 0.441, 0.426, 0.323, 1.352 eV/atom.